# TaHgSe2Br

An optimized crystal structure of TaHgSe2Br (PBE-GGA, the Alexandria database).

Properties
ΔE to the lowest computed polymorph in meV per atom: 0.0
Space-group type: P4/mmm
E_form (uncorrected) in eV/atom: -0.251

Lattice parameters (Å, degrees): 5.036 5.036 5.323 90.00 90.00 90.00
Positions (direct):
Hg: 0.500 0.500 0.500
Se: 0.000 0.500 0.000
Se: 0.500 0.000 0.000
Br: 0.000 0.000 0.500
Ta: 0.000 0.000 0.000


# KBeNi2

An optimized crystal structure of KBeNi2 (PBE-GGA, the Alexandria database).

Properties
Energy relative to the elements in kJ/mol of formula units: 234
Space-group type: Immm

Lattice parameters (Å, degrees): 5.438 5.438 5.438 152.12 121.86 65.68
Positions (direct):
Be: 0.250 0.750 0.500
Ni: 0.063 0.063 0.000
Ni: 0.437 0.437 0.000
K: 0.750 0.250 0.500


# Te2IrI

An optimized crystal structure of Te2IrI (PBE-GGA, the Alexandria database).

Properties
ΔE to the lowest computed polymorph in meV per atom: 203.8
Space-group type: C2/c
E_form (uncorrected) in eV/atom: 0.023

Lattice parameters (Å, degrees): 7.542 8.468 8.468 34.42 96.96 83.04
Positions (direct):
I: 0.750 0.351 0.851
I: 0.250 0.649 0.149
Te: 0.626 0.885 0.776
Te: 0.374 0.115 0.224
Te: 0.126 0.724 0.615
Te: 0.874 0.276 0.385
Ir: 0.250 0.047 0.547
Ir: 0.750 0.953 0.453


# Ba2LiSn4Pd3

An optimized crystal structure of Ba2LiSn4Pd3 (PBE-GGA, the Alexandria database).

Properties
Energy relative to the elements in kJ/mol of formula units: -627
Space-group type: P-4m2

Lattice parameters (Å, degrees): 4.792 4.792 10.978 90.00 90.00 90.00
Positions (direct):
Pd: 0.000 0.500 0.127
Pd: 0.000 0.000 0.500
Pd: 0.500 0.000 0.873
Sn: 0.500 0.500 0.000
Sn: 0.000 0.000 0.000
Sn: 0.000 0.500 0.377
Sn: 0.500 0.000 0.623
Li: 0.500 0.500 0.500
Ba: 0.500 0.000 0.254
Ba: 0.000 0.500 0.746


# NdPuGa

An optimized crystal structure of NdPuGa (PBE-GGA, the Alexandria database).

Properties
Energy relative to the elements in kJ/mol of formula units: -57
ΔE to the lowest computed polymorph in meV per atom: 0.0
Space-group type: I4mm

Lattice parameters (Å, degrees): 3.693 3.693 6.423 106.71 106.71 90.00
Positions (direct):
Ga: 0.671 0.671 0.343
Pu: 0.310 0.310 0.620
Nd: 0.019 0.019 0.037


# Ac2TeBr4

An optimized crystal structure of Ac2TeBr4 (PBE-GGA, the Alexandria database).

Properties
Space-group type: P4_2/mnm
E_form (uncorrected) in eV/atom: -1.841

Lattice parameters (Å, degrees): 4.584 10.105 10.105 90.00 90.00 90.00
Positions (direct):
Ac: 0.000 0.821 0.179
Ac: 0.500 0.321 0.321
Ac: 0.000 0.179 0.821
Ac: 0.500 0.679 0.679
Br: 0.500 0.604 0.160
Br: 0.000 0.104 0.340
Br: 0.500 0.160 0.604
Br: 0.500 0.840 0.396
Br: 0.000 0.660 0.896
Br: 0.000 0.340 0.104
Br: 0.000 0.896 0.660
Br: 0.500 0.396 0.840
Te: 0.500 0.000 0.000
Te: 0.000 0.500 0.500


# CdOsRu4

An optimized crystal structure of CdOsRu4 (PBE-GGA, the Alexandria database).

Properties
Energy relative to the elements in kJ/mol of formula units: 389
Space-group type: F-43m

Lattice parameters (Å, degrees): 5.095 5.095 5.095 60.00 60.00 60.00
Positions (direct):
Ru: 0.375 0.875 0.375
Ru: 0.375 0.375 0.875
Ru: 0.375 0.375 0.375
Ru: 0.875 0.375 0.375
Cd: 0.750 0.750 0.750
Os: 0.000 0.000 0.000


# Hf3NbSi

An optimized crystal structure of Hf3NbSi (PBE-GGA, the Alexandria database).

Properties
ΔE to the lowest computed polymorph in meV per atom: 0.0
Space-group type: Pm-3m
E_form (uncorrected) in eV/atom: 0.474

Lattice parameters (Å, degrees): 4.861 4.861 4.861 90.00 90.00 90.00
Positions (direct):
Nb: 0.500 0.500 0.500
Hf: 0.000 0.500 0.000
Hf: 0.000 0.000 0.500
Hf: 0.500 0.000 0.000
Si: 0.000 0.000 0.000


# Sb3ClO3

An optimized crystal structure of Sb3ClO3 (PBE-GGA, the Alexandria database).

Properties
Space-group type: R-3
E_form (uncorrected) in eV/atom: -0.922

Lattice parameters (Å, degrees): 6.789 6.789 8.391 66.14 66.14 60.00
Positions (direct):
O: 0.782 0.081 0.592
O: 0.081 0.545 0.592
O: 0.919 0.455 0.408
O: 0.545 0.782 0.592
O: 0.455 0.218 0.408
O: 0.218 0.919 0.408
Sb: 0.169 0.600 0.312
Sb: 0.082 0.831 0.688
Sb: 0.831 0.400 0.688
Sb: 0.600 0.918 0.312
Sb: 0.918 0.169 0.312
Sb: 0.400 0.082 0.688
Cl: 0.319 0.319 0.043
Cl: 0.681 0.681 0.957


# Sb2IrPb

An optimized crystal structure of Sb2IrPb (PBE-GGA, the Alexandria database).

Properties
Space-group type: R-3m
E_form (uncorrected) in eV/atom: -0.011

Lattice parameters (Å, degrees): 4.114 4.114 7.493 74.08 74.08 60.03
Positions (direct):
Sb: 0.524 0.524 0.429
Sb: 0.976 0.976 0.071
Pb: 0.750 0.750 0.750
Ir: 0.250 0.250 0.250


# CoPbAu3

An optimized crystal structure of CoPbAu3 (PBE-GGA, the Alexandria database).

Properties
Energy relative to the elements in kJ/mol of formula units: 610
ΔE to the lowest computed polymorph in meV per atom: 811.0
Space-group type: Pm-3m

Lattice parameters (Å, degrees): 5.279 5.279 5.279 90.00 90.00 90.00
Positions (direct):
Pb: 0.000 0.000 0.000
Au: 0.500 0.000 0.000
Au: 0.000 0.500 0.000
Au: 0.000 0.000 0.500
Co: 0.500 0.500 0.500


# MgRu2

An optimized crystal structure of MgRu2 (PBE-GGA, the Alexandria database).

Properties
Energy relative to the elements in kJ/mol of formula units: 84
Space-group type: Imma

Lattice parameters (Å, degrees): 8.483 8.483 8.483 161.01 149.86 35.87
Positions (direct):
Ru: 0.937 0.187 0.750
Ru: 0.785 0.035 0.750
Ru: 0.063 0.813 0.250
Ru: 0.215 0.965 0.250
Mg: 0.619 0.369 0.250
Mg: 0.381 0.631 0.750


# ScSiI2N

An optimized crystal structure of ScSiI2N (PBE-GGA, the Alexandria database).

Properties
ΔE to the lowest computed polymorph in meV per atom: 0.0
Space-group type: P4/mmm
E_form (uncorrected) in eV/atom: 0.118

Lattice parameters (Å, degrees): 5.820 5.820 3.427 90.00 90.00 90.00
Positions (direct):
Sc: 0.500 0.500 0.500
I: 0.500 0.000 0.000
I: 0.000 0.500 0.000
N: 0.000 0.000 0.500
Si: 0.000 0.000 0.000


# Tc2NiAg

An optimized crystal structure of Tc2NiAg (PBE-GGA, the Alexandria database).

Properties
Energy relative to the elements in kJ/mol of formula units: 120
ΔE to the lowest computed polymorph in meV per atom: 123.8
Space-group type: Pmm2

Lattice parameters (Å, degrees): 2.710 3.846 5.582 90.00 90.00 90.00
Positions (direct):
Ag: 0.000 0.000 0.514
Tc: 0.500 0.500 0.220
Tc: 0.000 0.000 0.005
Ni: 0.500 0.500 0.761


# ICl4

An optimized crystal structure of ICl4 (PBE-GGA, the Alexandria database).

Properties
ΔE to the lowest computed polymorph in meV per atom: 0.0
Space-group type: P2/c
E_form (uncorrected) in eV/atom: -0.096

Lattice parameters (Å, degrees): 7.711 7.211 7.664 90.00 90.00 117.37
Positions (direct):
Cl: 0.020 0.773 0.101
Cl: 0.980 0.227 0.899
Cl: 0.464 0.232 0.644
Cl: 0.536 0.768 0.356
Cl: 0.520 0.773 0.899
Cl: 0.964 0.232 0.356
Cl: 0.480 0.227 0.101
Cl: 0.036 0.768 0.644
I: 0.250 0.000 0.867
I: 0.750 0.000 0.133


# ZrRe3I

An optimized crystal structure of ZrRe3I (PBE-GGA, the Alexandria database).

Properties
ΔE to the lowest computed polymorph in meV per atom: 0.0
Space-group type: Pm-3m
E_form (uncorrected) in eV/atom: 2.313

Lattice parameters (Å, degrees): 4.779 4.779 4.779 90.00 90.00 90.00
Positions (direct):
Re: 0.000 0.500 0.000
Re: 0.000 0.000 0.500
Re: 0.500 0.000 0.000
I: 0.000 0.000 0.000
Zr: 0.500 0.500 0.500


# RbGaF3

An optimized crystal structure of RbGaF3 (PBE-GGA, the Alexandria database).

Properties
Space-group type: P-1
E_form (uncorrected) in eV/atom: -2.589

Lattice parameters (Å, degrees): 6.198 7.024 4.840 98.10 91.08 111.06
Positions (direct):
Rb: 0.584 0.426 0.342
Rb: 0.925 0.073 0.029
F: 0.853 0.632 0.902
F: 0.505 0.148 0.805
F: 0.656 0.867 0.469
F: 0.235 0.523 0.088
F: 0.274 0.976 0.283
F: 0.004 0.351 0.566
Ga: 0.128 0.609 0.790
Ga: 0.381 0.891 0.581


# RbNa

An optimized crystal structure of RbNa (PBE-GGA, the Alexandria database).

Properties
Energy relative to the elements in kJ/mol of formula units: 53
Space-group type: F-43m

Lattice parameters (Å, degrees): 9.219 9.219 9.219 90.00 90.00 90.00
Positions (direct):
Rb: 0.500 0.500 0.000
Rb: 0.500 0.000 0.500
Rb: 0.000 0.000 0.000
Rb: 0.000 0.500 0.500
Na: 0.250 0.250 0.250
Na: 0.250 0.750 0.750
Na: 0.750 0.750 0.250
Na: 0.750 0.250 0.750


no.,calculated total energy (eV/atom),volume (Å³/cell)
1,-4.411,135.0
2,-3.491,63.3
3,-4.151,278.9
4,-4.385,252.1
5,-7.574,80.1
6,-4.420,468.1
7,-7.536,93.5
8,-8.596,114.9
9,-5.077,296.2
10,-5.214,104.2
11,-2.866,147.1
12,-6.424,99.7
13,-4.518,116.1
14,-7.031,58.2
15,-1.883,378.5
16,-7.176,109.1
17,-4.511,194.1
18,-0.870,783.6